# TaReGeMo2

TaReGeMo2 after structural relaxation (PBE-GGA, Alexandria via LeMat-Bulk).

Results
Energy relative to the elements   1.538 eV/atom
Total moment   0.002 μB per cell

Unit cell a=4.753 b=4.753 c=4.867 alpha=90.00 beta=90.00 gamma=90.00
Space group P4/mmm (No. 123)
Asymmetric unit:
Ta 0.000 0.000 0.000
Re 0.000 0.000 0.500
Ge 0.500 0.500 0.000
Mo 0.000 0.500 0.500